An optimized crystal structure of Cu3Ag2, computed with PBE-GGA.

* formation energy: 0.09 eV per atom
* energy above the lowest structure with this stoichiometry: 45 meV/atom
* E: -3.273 eV per atom

Structure (POSCAR):
```
Cu3Ag2
1.0
-1.353 -1.357 2.068
-1.832 -1.034 -1.877
10.603 -14.322 -2.460
Ag Cu
4 6
Cartesian
1.096 -1.481 -0.254
3.302 -4.461 -0.766
7.300 -9.862 -1.694
9.506 -12.842 -2.206
-1.593 -1.195 0.096
0.608 -4.168 -0.415
2.816 -7.150 -0.927
5.301 -7.161 -1.230
4.602 -9.563 -1.342
6.809 -12.545 -1.854
```